The following is a DFT calculation (GGA-PBE) of an optimized crystal structure of SrPb3O.

## Properties
Calculated total energy in eV per atom: -2.29
Formation energy from raw total energies in eV/atom: 1.261
SG: Pm-3m, No. 221

```
SrPb3O
1.0
6.241 0.000 0.000
0.000 6.241 0.000
0.000 0.000 6.241
Pb Sr O
3 1 1
direct
0.000 0.000 0.500
0.500 0.000 0.000
0.000 0.500 0.000
0.000 0.000 0.000
0.500 0.500 0.500
```